Record 1
# MgMnO2

MgMnO2 at its PBEsol-relaxed geometry (meta-GGA SCAN, Alexandria).

Unit cell a=3.055 b=3.055 c=5.302 alpha=73.26 beta=73.26 gamma=60.00
Last column: magnetic moment on the atom in μB.
Fractional coordinates of all 4 atoms:
O 0.246 0.246 0.263  0.00
O 0.754 0.754 0.737  0.00
Mg 0.500 0.500 0.500  0.00
Mn 0.000 0.000 0.000  0.96

SG	R-3m
E	-10.956	eV per atom
total moment	1.00	μB per cell

***

Record 2
# Mg2Mn3O7

Mg2Mn3O7 at its PBEsol-relaxed geometry (meta-GGA SCAN, Alexandria).

Unit cell a=6.015 b=6.404 c=7.654 alpha=114.18 beta=98.58 gamma=106.01
Last column: magnetic moment on the atom in μB.
Fractional coordinates of all 24 atoms:
O 0.463 0.687 0.117  0.09
O 0.537 0.313 0.883  0.09
O 0.217 0.012 0.003  0.04
O 0.346 0.561 0.731  0.03
O 0.835 0.593 0.741  0.03
O 0.654 0.439 0.269  0.03
O 0.108 0.879 0.593  0.09
O 0.332 0.134 0.413  0.07
O 0.783 0.988 0.997  0.04
O 0.892 0.121 0.407  0.09
O 0.928 0.717 0.129  0.02
O 0.165 0.407 0.259  0.03
O 0.668 0.866 0.587  0.07
O 0.072 0.283 0.871  0.02
Mg 0.324 0.693 0.538  0.01
Mg 0.840 0.342 0.065  0.01
Mg 0.676 0.307 0.462  0.01
Mg 0.160 0.658 0.935  0.01
Mn 0.931 0.923 0.784  2.35
Mn 0.225 0.212 0.641  3.67
Mn 0.360 0.357 0.075  2.38
Mn 0.640 0.643 0.925  2.38
Mn 0.775 0.788 0.359  3.67
Mn 0.069 0.077 0.216  2.35

SG	P-1
E	-11.452	eV per atom
total moment	17.99	μB per cell

***

Record 3
# MgMn2O4

MgMn2O4 at its PBEsol-relaxed geometry (meta-GGA SCAN, Alexandria).

Unit cell a=2.922 b=5.155 c=5.074 alpha=106.30 beta=90.00 gamma=90.00
Last column: magnetic moment on the atom in μB.
Fractional coordinates of all 7 atoms:
Mn 0.000 0.500 0.500  2.65
Mn 0.500 0.500 0.000  4.34
O 0.500 0.299 0.287  0.04
O 0.500 0.701 0.713  0.04
O 0.000 0.742 0.276  0.11
O 0.000 0.258 0.724  0.11
Mg 0.500 0.000 0.500  0.02

SG	P2/m
total moment	7.53	μB per cell
distance to the lowest polymorph of the same formula	93	meV/atom

***

Record 4
# Mg6MnO8

Mg6MnO8 at its PBEsol-relaxed geometry (meta-GGA SCAN, Alexandria).

Unit cell a=5.926 b=5.926 c=5.926 alpha=60.00 beta=60.00 gamma=60.00
Last column: magnetic moment on the atom in μB.
Fractional coordinates of all 15 atoms:
O 0.772 0.772 0.228  0.01
O 0.228 0.772 0.772  0.01
O 0.228 0.228 0.772  0.01
O 0.772 0.228 0.228  0.01
O 0.772 0.228 0.772  0.01
O 0.750 0.750 0.750  0.00
O 0.228 0.772 0.228  0.01
O 0.250 0.250 0.250  0.00
Mg 0.000 0.500 0.500  0.00
Mg 0.000 0.000 0.500  0.00
Mg 0.500 0.500 0.000  0.00
Mg 0.500 0.000 0.000  0.00
Mg 0.500 0.000 0.500  0.00
Mg 0.000 0.500 0.000  0.00
Mn 0.000 0.000 0.000  2.80

SG	Fm-3m
E	-9.410	eV per atom
total moment	2.97	μB per cell

***

Record 5
# MgMnO3

MgMnO3 at its PBEsol-relaxed geometry (meta-GGA SCAN, Alexandria).

Unit cell a=3.795 b=3.795 c=3.795 alpha=90.00 beta=90.00 gamma=90.00
Last column: magnetic moment on the atom in μB.
Fractional coordinates of all 5 atoms:
Mg 0.000 0.000 0.000  0.02
O 0.000 0.500 0.000  -0.55
O 0.000 0.000 0.500  -0.55
O 0.500 0.000 0.000  -0.55
Mn 0.500 0.500 0.500  4.62

SG	Pm-3m
E	-9.562	eV per atom
total moment	3.00	μB per cell

***

Record 6
# MgMn2P2O9

MgMn2P2O9 at its PBEsol-relaxed geometry (meta-GGA SCAN, Alexandria).

Unit cell a=6.250 b=6.984 c=14.277 alpha=90.00 beta=90.00 gamma=90.00
Last column: magnetic moment on the atom in μB.
Fractional coordinates of all 56 atoms:
Mg 0.250 0.883 0.776  0.00
Mg 0.750 0.117 0.224  0.00
Mg 0.750 0.383 0.724  0.00
Mg 0.250 0.617 0.276  0.00
P 0.250 0.106 0.199  0.01
P 0.750 0.894 0.801  0.01
P 0.250 0.876 0.573  0.02
P 0.750 0.376 0.927  0.02
P 0.250 0.394 0.699  0.01
P 0.250 0.624 0.073  0.02
P 0.750 0.124 0.427  0.02
P 0.750 0.606 0.301  0.01
O 0.460 0.391 0.642  0.03
O 0.061 0.889 0.642  0.02
O 0.540 0.609 0.358  0.03
O 0.540 0.891 0.858  0.03
O 0.250 0.473 0.998  0.03
O 0.250 0.128 0.948  -0.01
O 0.561 0.111 0.358  0.02
O 0.250 0.027 0.498  0.03
O 0.750 0.322 0.475  0.04
O 0.040 0.109 0.142  0.03
O 0.250 0.372 0.448  -0.01
O 0.750 0.789 0.235  -0.01
O 0.250 0.564 0.770  0.02
O 0.439 0.889 0.642  0.02
O 0.250 0.289 0.265  -0.01
O 0.250 0.211 0.765  -0.01
O 0.040 0.391 0.642  0.03
O 0.750 0.973 0.502  0.03
O 0.939 0.389 0.858  0.02
O 0.250 0.822 0.025  0.04
O 0.750 0.711 0.735  -0.01
O 0.960 0.609 0.358  0.03
O 0.750 0.872 0.052  -0.01
O 0.561 0.389 0.858  0.02
O 0.061 0.611 0.142  0.02
O 0.460 0.109 0.142  0.03
O 0.750 0.064 0.730  0.02
O 0.439 0.611 0.142  0.02
O 0.750 0.178 0.975  0.04
O 0.750 0.628 0.552  -0.01
O 0.750 0.436 0.230  0.02
O 0.750 0.527 0.002  0.03
O 0.250 0.936 0.270  0.02
O 0.250 0.678 0.525  0.04
O 0.960 0.891 0.858  0.03
O 0.939 0.111 0.358  0.02
Mn 0.250 0.354 0.880  3.49
Mn 0.000 0.500 0.500  4.06
Mn 0.750 0.854 0.620  3.49
Mn 0.500 0.500 0.500  4.06
Mn 0.750 0.646 0.120  3.49
Mn 0.250 0.146 0.380  3.49
Mn 0.000 0.000 0.000  4.06
Mn 0.500 0.000 0.000  4.06

SG	Pnma
E	-10.925	eV per atom
total moment	32.00	μB per cell

***

Record 7
# MgMnPO5

MgMnPO5 at its PBEsol-relaxed geometry (meta-GGA SCAN, Alexandria).

Unit cell a=5.396 b=5.396 c=6.723 alpha=104.82 beta=104.82 gamma=103.20
Last column: magnetic moment on the atom in μB.
Fractional coordinates of all 16 atoms:
Mn 0.990 0.018 0.997  3.71
Mn 0.018 0.990 0.497  3.71
Mg 0.751 0.378 0.779  0.00
Mg 0.378 0.751 0.279  0.00
O 0.726 0.641 0.394  0.01
O 0.772 0.307 0.067  0.04
O 0.323 0.325 0.623  0.01
O 0.082 0.910 0.236  0.05
O 0.910 0.082 0.736  0.05
O 0.654 0.145 0.360  0.03
O 0.325 0.323 0.123  0.01
O 0.641 0.726 0.894  0.01
O 0.145 0.654 0.860  0.03
O 0.307 0.772 0.567  0.04
P 0.625 0.345 0.234  0.01
P 0.345 0.625 0.734  0.01

SG	Cc
E	-10.681	eV per atom
total moment	8.00	μB per cell

***

Record 8
# MgMnP2O7

MgMnP2O7 at its PBEsol-relaxed geometry (meta-GGA SCAN, Alexandria).

Unit cell a=6.216 b=6.687 c=7.008 alpha=77.86 beta=64.47 gamma=80.20
Last column: magnetic moment on the atom in μB.
Fractional coordinates of all 22 atoms:
O 0.612 0.333 0.126  0.02
O 0.404 0.075 0.862  0.00
O 0.281 0.586 0.338  0.01
O 0.818 0.752 0.715  0.03
O 0.906 0.630 0.147  0.06
O 0.592 0.757 0.488  0.01
O 0.408 0.243 0.512  0.01
O 0.596 0.925 0.138  0.00
O 0.094 0.370 0.853  0.06
O 0.719 0.414 0.662  0.01
O 0.388 0.667 0.874  0.02
O 0.943 0.965 0.228  0.02
O 0.182 0.248 0.285  0.03
O 0.057 0.035 0.772  0.02
Mg 0.697 0.162 0.879  0.00
Mg 0.303 0.838 0.121  0.00
P 0.235 0.178 0.757  0.01
P 0.358 0.365 0.304  0.01
P 0.642 0.635 0.696  0.01
P 0.765 0.822 0.243  0.01
Mn 0.905 0.308 0.205  4.58
Mn 0.095 0.692 0.795  4.58

SG	P-1
E	-10.563	eV per atom
total moment	10.00	μB per cell

***

Record 9
# MgMnPO2

MgMnPO2 at its PBEsol-relaxed geometry (meta-GGA SCAN, Alexandria).

Unit cell a=3.677 b=3.677 c=5.608 alpha=90.00 beta=90.00 gamma=90.00
Last column: magnetic moment on the atom in μB.
Fractional coordinates of all 5 atoms:
O 0.000 0.500 0.000  0.61
O 0.500 0.000 0.000  0.61
P 0.500 0.500 0.500  -0.40
Mg 0.000 0.000 0.000  -0.02
Mn 0.000 0.000 0.500  4.22

SG	P4/mmm
E	-9.603	eV per atom
total moment	5.07	μB per cell

***

Record 10
# Mg2MnSbO6

Mg2MnSbO6 at its PBEsol-relaxed geometry (meta-GGA SCAN, Alexandria).

Unit cell a=5.249 b=5.349 c=7.435 alpha=90.00 beta=90.00 gamma=94.97
Last column: magnetic moment on the atom in μB.
Fractional coordinates of all 20 atoms:
Sb 0.500 0.000 0.000  0.03
Sb 0.500 0.000 0.500  0.03
O 0.167 0.818 0.437  0.02
O 0.661 0.697 0.570  0.04
O 0.833 0.182 0.563  0.02
O 0.364 0.080 0.750  0.02
O 0.339 0.303 0.070  0.04
O 0.106 0.570 0.750  0.01
O 0.661 0.697 0.930  0.04
O 0.833 0.182 0.937  0.02
O 0.167 0.818 0.063  0.02
O 0.339 0.303 0.430  0.04
O 0.894 0.430 0.250  0.01
O 0.636 0.920 0.250  0.02
Mn 0.000 0.500 0.500  3.69
Mn 0.000 0.500 0.000  3.69
Mg 0.534 0.529 0.250  0.00
Mg 0.028 0.073 0.250  0.00
Mg 0.972 0.927 0.750  0.00
Mg 0.466 0.471 0.750  0.00

SG	P2_1/m
E	-12.545	eV per atom
total moment	8.00	μB per cell

***

Record 11
# MgMnSi4O10

MgMnSi4O10 at its PBEsol-relaxed geometry (meta-GGA SCAN, Alexandria).

Unit cell a=7.297 b=7.297 c=14.750 alpha=90.00 beta=90.00 gamma=90.00
Last column: magnetic moment on the atom in μB.
Fractional coordinates of all 64 atoms:
O 0.560 0.752 0.876  0.00
O 0.771 0.916 0.574  0.03
O 0.084 0.229 0.926  0.03
O 0.940 0.748 0.124  0.00
O 0.191 0.191 0.750  0.00
O 0.691 0.691 0.250  0.00
O 0.060 0.252 0.124  0.00
O 0.584 0.729 0.074  0.03
O 0.940 0.252 0.624  0.00
O 0.416 0.729 0.574  0.03
O 0.916 0.771 0.926  0.03
O 0.916 0.229 0.426  0.03
O 0.252 0.940 0.876  0.00
O 0.060 0.748 0.624  0.00
O 0.560 0.248 0.376  0.00
O 0.809 0.191 0.250  0.00
O 0.440 0.248 0.876  0.00
O 0.729 0.416 0.926  0.03
O 0.691 0.309 0.750  0.00
O 0.271 0.416 0.426  0.03
O 0.809 0.809 0.750  0.00
O 0.440 0.752 0.376  0.00
O 0.084 0.771 0.426  0.03
O 0.748 0.060 0.876  0.00
O 0.248 0.560 0.124  0.00
O 0.252 0.060 0.376  0.00
O 0.191 0.809 0.250  0.00
O 0.229 0.084 0.574  0.03
O 0.229 0.916 0.074  0.03
O 0.752 0.560 0.624  0.00
O 0.416 0.271 0.074  0.03
O 0.584 0.271 0.574  0.03
O 0.309 0.309 0.250  0.00
O 0.309 0.691 0.750  0.00
O 0.752 0.440 0.124  0.00
O 0.729 0.584 0.426  0.03
O 0.748 0.940 0.376  0.00
O 0.248 0.440 0.624  0.00
O 0.771 0.084 0.074  0.03
O 0.271 0.584 0.926  0.03
Si 0.761 0.160 0.356  0.00
Si 0.840 0.239 0.144  0.00
Si 0.660 0.261 0.856  0.00
Si 0.239 0.160 0.856  0.00
Si 0.739 0.340 0.644  0.00
Si 0.261 0.660 0.644  0.00
Si 0.739 0.660 0.144  0.00
Si 0.660 0.739 0.356  0.00
Si 0.840 0.761 0.644  0.00
Si 0.261 0.340 0.144  0.00
Si 0.160 0.761 0.144  0.00
Si 0.340 0.261 0.356  0.00
Si 0.239 0.840 0.356  0.00
Si 0.761 0.840 0.856  0.00
Si 0.160 0.239 0.644  0.00
Si 0.340 0.739 0.856  0.00
Mn 0.500 0.000 0.558  4.56
Mn 0.000 0.500 0.442  4.56
Mn 0.500 0.000 0.058  4.56
Mn 0.000 0.500 0.942  4.56
Mg 0.500 0.500 0.500  0.00
Mg 0.000 0.000 0.500  0.00
Mg 0.000 0.000 0.000  0.00
Mg 0.500 0.500 0.000  0.00

SG	P4/ncc
E	-10.727	eV per atom
total moment	20.00	μB per cell

***

Record 12
# SrMg30MnO32

SrMg30MnO32 at its PBEsol-relaxed geometry (meta-GGA SCAN, Alexandria).

Unit cell a=8.524 b=8.541 c=8.541 alpha=90.00 beta=90.00 gamma=90.00
Last column: magnetic moment on the atom in μB.
Fractional coordinates of all 64 atoms:
Sr 0.500 0.000 0.000  0.01
O 0.500 0.746 0.500  0.00
O 0.000 0.252 0.500  0.00
O 0.248 0.000 0.500  0.00
O 0.752 0.000 0.500  0.00
O 0.750 0.750 0.250  0.00
O 0.750 0.250 0.750  0.00
O 0.750 0.750 0.750  0.00
O 0.750 0.250 0.250  0.00
O 0.751 0.500 0.500  0.00
O 0.250 0.750 0.250  0.00
O 0.767 0.000 0.000  0.04
O 0.250 0.250 0.250  0.00
O 0.500 0.730 0.000  0.00
O 0.500 0.270 0.000  0.00
O 0.000 0.000 0.261  0.05
O 0.500 0.500 0.746  0.00
O 0.000 0.739 0.000  0.05
O 0.752 0.500 0.000  0.00
O 0.000 0.748 0.500  0.00
O 0.000 0.261 0.000  0.05
O 0.500 0.000 0.730  0.00
O 0.248 0.500 0.000  0.00
O 0.500 0.254 0.500  0.00
O 0.000 0.000 0.739  0.05
O 0.000 0.500 0.252  0.00
O 0.250 0.750 0.750  0.00
O 0.249 0.500 0.500  0.00
O 0.000 0.500 0.748  0.00
O 0.233 0.000 0.000  0.04
O 0.500 0.000 0.270  0.00
O 0.500 0.500 0.254  0.00
O 0.250 0.250 0.750  0.00
Mg 0.751 0.500 0.251  0.00
Mg 0.000 0.749 0.251  0.00
Mg 0.249 0.749 0.500  0.00
Mg 0.500 0.255 0.745  0.00
Mg 0.000 0.251 0.749  0.00
Mg 0.249 0.500 0.251  0.00
Mg 0.755 0.000 0.744  0.00
Mg 0.000 0.500 0.500  0.00
Mg 0.755 0.000 0.256  0.00
Mg 0.000 0.749 0.749  0.00
Mg 0.249 0.500 0.749  0.00
Mg 0.755 0.744 0.000  0.00
Mg 0.000 0.500 0.000  0.01
Mg 0.245 0.000 0.256  0.00
Mg 0.751 0.251 0.500  0.00
Mg 0.500 0.500 0.000  0.00
Mg 0.755 0.256 0.000  0.00
Mg 0.500 0.745 0.745  0.00
Mg 0.000 0.251 0.251  0.00
Mg 0.245 0.256 0.000  0.00
Mg 0.751 0.749 0.500  0.00
Mg 0.500 0.255 0.255  0.00
Mg 0.500 0.745 0.255  0.00
Mg 0.751 0.500 0.749  0.00
Mg 0.000 0.000 0.500  0.01
Mg 0.500 0.500 0.500  0.00
Mg 0.249 0.251 0.500  0.00
Mg 0.500 0.000 0.500  0.00
Mg 0.245 0.744 0.000  0.00
Mg 0.245 0.000 0.744  0.00
Mn 0.000 0.000 0.000  4.48

SG	P4/mmm
E	-9.012	eV per atom
total moment	5.00	μB per cell